Entry 1:
Material: PuUIr2
Method: DFT, PBE
State: relaxed

Summary:
For the formation energy, the calculation gives -0.41 eV/atom.

Cell: 4.8189 4.8189 3.4569 Å, 90.00 90.00 90.00°
Closest atoms and distances in Å follow each position.
Space group P4/mmm (No. 123)
Inequivalent atoms, fractional coordinates:
1 Pu 0.0000 0.0000 0.0000 (multiplicity 1)  8 Ir 2.97
2 U 0.5000 0.5000 0.0000 (multiplicity 1)  8 Ir 2.97
3 Ir 0.0000 0.5000 0.5000 (multiplicity 2)  4 U 2.97, 4 Pu 2.97

=====

Entry 2:
Material: PuU2Ir
Method: DFT, PBE
State: relaxed

Summary:
For the formation energy, the calculation gives 0.06 eV/atom.

Cell: 3.4283 3.4283 22.2866 Å, 90.00 90.00 120.00°
Closest atoms and distances in Å follow each position.
Space group R-3m (No. 166, hexagonal axes)
Inequivalent atoms, fractional coordinates:
1 Pu 0.0000 0.0000 0.0000 (multiplicity 3)  6 U 2.60
2 U 0.0000 0.0000 0.2576 (multiplicity 6)  3 Pu 2.60, 3 Ir 2.83
3 Ir 0.0000 0.0000 0.5000 (multiplicity 3)  6 U 2.83

=====

Computed magnetic moment (μB per formula unit) in order:
7.08; 0.90